[1]
BaWCl2: relaxed, GGA-PBE.

Structure (extended XYZ):
```
4
Lattice="-9.374 2.429 -1.356 -8.616 4.470 1.181 -7.925 5.381 -1.962" Properties=species:S:1:pos:R:3 pbc="T T T"
Ba -12.958 6.140 -1.069
W 0.000 0.000 0.000
Cl -23.781 11.269 -1.961
Cl -2.135 1.011 -0.176
```

Values from the calculation:
- E above lowest polymorph (kJ per mole of atoms) = 15.4
- raw formation energy (eV/atom) = -0.040
- total DFT energy (no corrections) (eV/atom) = -4.68
- total magnetization (μB per atom) = 0.00

***

[2]
BaWCl2: relaxed, GGA-PBE.

Structure (extended XYZ):
```
4
Lattice="-1.918 2.748 0.610 -2.565 -2.011 0.991 3.026 0.258 8.357" Properties=species:S:1:pos:R:3 pbc="T T T"
Ba 0.033 0.563 7.082
W 1.342 0.114 3.706
Cl 2.922 0.249 8.068
Cl -1.214 0.456 3.638
```

Values from the calculation:
- E above lowest polymorph (kJ per mole of atoms) = 12.4
- raw formation energy (eV/atom) = -0.071
- total DFT energy (no corrections) (eV/atom) = -4.71
- total magnetization (μB per atom) = 0.00

***

[3]
BaWCl3: relaxed, GGA-PBE.

Structure (extended XYZ):
```
5
Lattice="4.963 0.000 0.000 0.000 4.963 0.000 0.000 0.000 4.963" Properties=species:S:1:pos:R:3 pbc="T T T"
Ba 2.482 2.482 2.482
W 0.000 0.000 0.000
Cl 0.000 2.482 0.000
Cl 0.000 0.000 2.482
Cl 2.482 0.000 0.000
```

Values from the calculation:
- raw formation energy (eV/atom) = -0.537
- total DFT energy (no corrections) (eV/atom) = -4.62
- total magnetization (μB per atom) = 0.34

***

[4]
BaWCl2: relaxed, GGA-PBE.

Structure (extended XYZ):
```
4
Lattice="-5.314 2.202 -6.039 -7.026 -2.650 -3.629 4.834 2.140 6.451" Properties=species:S:1:pos:R:3 pbc="T T T"
Ba -2.656 2.083 -1.687
W -6.323 -0.229 -4.954
Cl -0.188 -0.007 -0.148
Cl -4.509 -0.379 -1.263
```

Values from the calculation:
- E above lowest polymorph (kJ per mole of atoms) = 27.7
- raw formation energy (eV/atom) = 0.088
- total DFT energy (no corrections) (eV/atom) = -4.55
- total magnetization (μB per atom) = 0.86

***

[5]
BaWCl2: relaxed, GGA-PBE.

Structure (extended XYZ):
```
4
Lattice="5.029 -0.892 -0.592 2.500 4.454 -0.592 2.500 1.183 4.335" Properties=species:S:1:pos:R:3 pbc="T T T"
Ba 7.523 3.558 2.363
W 2.508 1.186 0.788
Cl 0.423 0.200 0.133
Cl 4.592 2.172 1.442
```

Values from the calculation:
- E above lowest polymorph (kJ per mole of atoms) = 5.2
- raw formation energy (eV/atom) = -0.145
- total DFT energy (no corrections) (eV/atom) = -4.79
- total magnetization (μB per atom) = 0.99

***

[6]
BaW3Cl: relaxed, GGA-PBE.

Structure (extended XYZ):
```
5
Lattice="4.687 0.000 0.000 0.000 4.687 0.000 0.000 0.000 4.687" Properties=species:S:1:pos:R:3 pbc="T T T"
Ba 2.343 2.343 2.343
W 0.000 2.343 0.000
W 0.000 0.000 2.343
W 2.343 0.000 0.000
Cl 0.000 0.000 0.000
```

Values from the calculation:
- E above lowest polymorph (kJ per mole of atoms) = 0.0
- raw formation energy (eV/atom) = 1.895
- total DFT energy (no corrections) (eV/atom) = -6.63
- total magnetization (μB per atom) = 0.00

***

[7]
BaW3Cl: relaxed, GGA-PBE.

Structure (extended XYZ):
```
5
Lattice="-4.250 -2.845 0.244 -0.197 -0.145 -5.114 2.849 -4.255 0.010" Properties=species:S:1:pos:R:3 pbc="T T T"
Ba 0.000 0.000 0.000
W -0.099 -0.072 -2.557
W 1.424 -2.127 0.005
W -2.125 -1.422 0.122
Cl -0.799 -3.622 -2.430
```

Values from the calculation:
- E above lowest polymorph (kJ per mole of atoms) = 209.2
- raw formation energy (eV/atom) = 4.063
- total DFT energy (no corrections) (eV/atom) = -4.46
- total magnetization (μB per atom) = 0.19

***

[8]
BaWCl2: relaxed, GGA-PBE.

Structure (extended XYZ):
```
4
Lattice="6.827 0.035 0.000 4.048 5.497 0.000 -5.437 -2.766 3.064" Properties=species:S:1:pos:R:3 pbc="T T T"
Ba 3.413 0.018 1.532
W 5.437 2.766 0.000
Cl 0.000 0.000 0.000
Cl 2.024 2.749 1.532
```

Values from the calculation:
- E above lowest polymorph (kJ per mole of atoms) = 31.5
- raw formation energy (eV/atom) = 0.127
- total DFT energy (no corrections) (eV/atom) = -4.52
- total magnetization (μB per atom) = 1.08

***

[9]
BaWCl2: relaxed, GGA-PBE.

Structure (extended XYZ):
```
4
Lattice="4.186 0.000 0.000 0.000 3.383 0.001 0.000 -0.001 6.355" Properties=species:S:1:pos:R:3 pbc="T T T"
Ba 2.093 2.537 4.767
W 2.093 0.846 1.589
Cl 0.000 0.845 0.163
Cl 0.000 0.846 3.015
```

Values from the calculation:
- E above lowest polymorph (kJ per mole of atoms) = 4.7
- raw formation energy (eV/atom) = -0.151
- total DFT energy (no corrections) (eV/atom) = -4.79
- total magnetization (μB per atom) = 0.00

***

[10]
BaWCl2: relaxed, GGA-PBE.

Structure (extended XYZ):
```
4
Lattice="-4.115 6.557 5.471 -2.094 4.880 7.852 2.347 4.382 1.094" Properties=species:S:1:pos:R:3 pbc="T T T"
Ba -0.975 3.933 3.597
W -1.895 9.126 8.034
Cl -3.728 14.601 13.446
Cl -3.060 11.887 10.967
```

Values from the calculation:
- E above lowest polymorph (kJ per mole of atoms) = 20.5
- raw formation energy (eV/atom) = 0.013
- total DFT energy (no corrections) (eV/atom) = -4.63
- total magnetization (μB per atom) = 1.00

***

[11]
BaWCl2: relaxed, GGA-PBE.

Structure (extended XYZ):
```
4
Lattice="4.559 0.000 0.000 0.000 3.335 0.115 0.000 3.100 6.947" Properties=species:S:1:pos:R:3 pbc="T T T"
Ba 2.279 4.412 5.263
W 0.000 2.830 2.707
Cl 0.000 2.913 0.150
Cl 2.279 2.834 2.589
```

Values from the calculation:
- E above lowest polymorph (kJ per mole of atoms) = 6.3
- raw formation energy (eV/atom) = -0.135
- total DFT energy (no corrections) (eV/atom) = -4.78
- total magnetization (μB per atom) = 0.00

***

[12]
BaWCl2: relaxed, GGA-PBE.

Structure (extended XYZ):
```
4
Lattice="0.000 3.860 3.860 3.860 0.000 3.860 3.860 3.860 0.000" Properties=species:S:1:pos:R:3 pbc="T T T"
Ba 0.000 0.000 0.000
W 3.860 3.860 3.860
Cl 1.930 1.930 1.930
Cl 5.790 5.790 5.790
```

Values from the calculation:
- E above lowest polymorph (kJ per mole of atoms) = 27.5
- raw formation energy (eV/atom) = 0.085
- total DFT energy (no corrections) (eV/atom) = -4.56
- total magnetization (μB per atom) = 1.49

***

[13]
BaWCl2: relaxed, GGA-PBE.

Structure (extended XYZ):
```
4
Lattice="3.691 0.000 0.000 0.000 3.691 0.000 0.000 0.000 10.554" Properties=species:S:1:pos:R:3 pbc="T T T"
Ba 1.845 1.845 7.915
W 1.845 1.845 2.638
Cl 0.000 0.000 9.642
Cl 0.000 0.000 6.189
```

Values from the calculation:
- E above lowest polymorph (kJ per mole of atoms) = 30.9
- raw formation energy (eV/atom) = 0.121
- total DFT energy (no corrections) (eV/atom) = -4.52
- total magnetization (μB per atom) = 1.14

***

[14]
BaWCl2: relaxed, GGA-PBE.

Structure (extended XYZ):
```
4
Lattice="-2.882 -1.880 -4.420 1.739 -1.400 -5.138 0.829 -5.258 1.823" Properties=species:S:1:pos:R:3 pbc="T T T"
Ba -0.079 -2.135 -1.934
W -0.236 -6.404 -5.801
Cl -1.034 -3.236 -8.823
Cl -0.267 -4.313 -4.602
```

Values from the calculation:
- E above lowest polymorph (kJ per mole of atoms) = 0.0
- raw formation energy (eV/atom) = -0.200
- total DFT energy (no corrections) (eV/atom) = -4.84
- total magnetization (μB per atom) = 1.00

***

[15]
BaWCl2: relaxed, GGA-PBE.

Structure (extended XYZ):
```
8
Lattice="5.523 0.000 0.000 0.000 5.523 0.000 2.762 2.762 7.335" Properties=species:S:1:pos:R:3 pbc="T T T"
Ba 2.762 2.762 0.000
Ba 2.762 5.523 3.668
W 0.000 0.000 0.000
W 5.523 2.762 3.668
Cl 4.848 1.381 1.834
Cl 6.199 4.143 1.834
Cl 4.143 3.438 5.501
Cl 6.904 2.086 5.501
```

Values from the calculation:
- E above lowest polymorph (kJ per mole of atoms) = 22.1
- raw formation energy (eV/atom) = 0.029
- total DFT energy (no corrections) (eV/atom) = -4.61
- total magnetization (μB per atom) = 0.00

***

[16]
BaY3Cl: relaxed, GGA-PBE.

Structure (extended XYZ):
```
5
Lattice="-0.534 2.452 -4.879 1.701 -4.584 -2.490 -5.189 -1.755 -0.314" Properties=species:S:1:pos:R:3 pbc="T T T"
Y 0.851 -2.292 -1.245
Y -2.594 -0.878 -0.157
Y -0.267 1.226 -2.440
Ba -2.011 -1.943 -3.841
Cl 0.000 0.000 0.000
```

Values from the calculation:
- E above lowest polymorph (kJ per mole of atoms) = 0.0
- raw formation energy (eV/atom) = -0.310
- total DFT energy (no corrections) (eV/atom) = -4.94
- total magnetization (μB per atom) = 0.00

***

[17]
BaYCl2: relaxed, GGA-PBE.

Structure (extended XYZ):
```
4
Lattice="5.284 0.001 0.000 -0.001 5.284 0.000 -2.643 -2.643 3.737" Properties=species:S:1:pos:R:3 pbc="T T T"
Y -0.001 2.642 1.868
Ba 2.642 0.000 1.868
Cl 5.284 0.001 0.000
Cl -0.001 0.000 3.737
```

Values from the calculation:
- E above lowest polymorph (kJ per mole of atoms) = 37.7
- raw formation energy (eV/atom) = -1.071
- total DFT energy (no corrections) (eV/atom) = -4.09
- total magnetization (μB per atom) = 0.00

***

[18]
BaYCl2: relaxed, GGA-PBE.

Structure (extended XYZ):
```
4
Lattice="-1.674 -0.024 3.313 -6.301 -1.575 -3.195 0.957 -4.742 0.449" Properties=species:S:1:pos:R:3 pbc="T T T"
Y -0.358 -2.383 1.881
Ba -2.672 -3.158 -1.373
Cl 0.000 0.000 0.000
Cl -3.987 -0.799 0.059
```

Values from the calculation:
- E above lowest polymorph (kJ per mole of atoms) = 16.9
- raw formation energy (eV/atom) = -1.287
- total DFT energy (no corrections) (eV/atom) = -4.31
- total magnetization (μB per atom) = 0.00

***

[19]
BaY3Cl: relaxed, GGA-PBE.

Structure (extended XYZ):
```
5
Lattice="5.858 0.000 0.000 0.000 5.858 0.000 0.000 0.000 5.858" Properties=species:S:1:pos:R:3 pbc="T T T"
Y 0.000 2.929 0.000
Y 0.000 0.000 2.929
Y 2.929 0.000 0.000
Ba 0.000 0.000 0.000
Cl 2.929 2.929 2.929
```

Values from the calculation:
- E above lowest polymorph (kJ per mole of atoms) = 127.6
- raw formation energy (eV/atom) = 1.012
- total DFT energy (no corrections) (eV/atom) = -3.62
- total magnetization (μB per atom) = 0.00

***

[20]
Ba2YCl: relaxed, GGA-PBE.

Structure (extended XYZ):
```
4
Lattice="-1.444 -0.368 -3.716 1.864 -3.332 1.205 -9.470 -3.830 4.060" Properties=species:S:1:pos:R:3 pbc="T T T"
Ba -0.306 -0.124 0.131
Ba -4.429 -1.791 1.899
Cl -2.157 -2.807 -0.240
Y -6.892 -4.722 1.790
```

Values from the calculation:
- E above lowest polymorph (kJ per mole of atoms) = 3.5
- raw formation energy (eV/atom) = -0.665
- total DFT energy (no corrections) (eV/atom) = -3.70
- total magnetization (μB per atom) = 0.00

***

[21]
Ba2YCl7: relaxed, GGA-PBE.

Structure (extended XYZ):
```
40
Lattice="-8.547 -1.909 10.897 -5.674 -0.945 -4.615 0.595 -13.309 -1.866" Properties=species:S:1:pos:R:3 pbc="T T T"
Ba -8.167 -11.802 1.318
Ba -5.149 -9.538 -3.232
Ba -10.960 -4.115 4.729
Ba -7.011 -4.826 0.389
Ba -8.758 -11.817 6.761
Ba -3.233 -12.175 0.411
Ba -6.565 -6.199 5.210
Ba -1.970 -3.583 -1.349
Y -11.940 -9.585 4.345
Y -5.449 -1.415 -3.386
Y -4.986 -14.036 3.733
Y -3.532 -6.991 2.426
Cl -9.859 -14.512 1.612
Cl -8.836 -2.157 0.030
Cl -9.419 -9.006 0.220
Cl -5.789 -12.670 -3.895
Cl -6.705 -7.084 -1.866
Cl -11.231 -7.163 3.595
Cl -12.648 -12.155 4.713
Cl -13.395 -5.600 6.206
Cl -5.847 -10.711 -0.415
Cl -8.257 -4.532 3.207
Cl -9.482 -10.452 3.855
Cl -7.441 -13.164 4.223
Cl -11.157 -9.636 6.892
Cl -5.771 -13.983 1.186
Cl -11.360 -2.964 7.700
Cl -6.166 -7.354 2.239
Cl -5.150 -2.769 -1.125
Cl -3.831 -5.642 0.163
Cl -2.533 -10.999 -2.405
Cl -9.269 -5.786 6.731
Cl -4.274 -11.467 3.365
Cl -4.134 -4.714 3.727
Cl -2.592 -9.045 1.073
Cl -7.064 -9.112 6.465
Cl -6.294 -3.149 6.345
Cl -0.141 -6.250 -0.987
Cl -7.510 -14.615 7.854
Cl -2.276 -1.319 0.904
```

Values from the calculation:
- E above lowest polymorph (kJ per mole of atoms) = 1.5
- raw formation energy (eV/atom) = -2.425
- total DFT energy (no corrections) (eV/atom) = -4.75
- total magnetization (μB per atom) = 0.01

***

[22]
BaYCl2: relaxed, GGA-PBE.

Structure (extended XYZ):
```
4
Lattice="7.721 1.175 6.271 6.703 -2.595 6.976 9.061 -1.717 3.908" Properties=species:S:1:pos:R:3 pbc="T T T"
Y 0.000 0.000 0.000
Ba 11.743 -1.569 8.577
Cl 21.347 -2.852 15.592
Cl 2.139 -0.286 1.563
```

Values from the calculation:
- E above lowest polymorph (kJ per mole of atoms) = 3.4
- raw formation energy (eV/atom) = -1.427
- total DFT energy (no corrections) (eV/atom) = -4.45
- total magnetization (μB per atom) = 0.21

***

[23]
Ba2YCl2: relaxed, GGA-PBE.

Structure (extended XYZ):
```
5
Lattice="-3.615 -9.098 -0.911 -0.036 -8.506 4.931 -1.031 9.771 -0.359" Properties=species:S:1:pos:R:3 pbc="T T T"
Ba -2.353 -11.346 2.591
Ba -1.298 -6.258 1.429
Y 0.000 0.000 0.000
Cl -1.446 -3.768 3.291
Cl -3.235 -4.064 0.370
```

Values from the calculation:
- raw formation energy (eV/atom) = -1.087
- total DFT energy (no corrections) (eV/atom) = -3.89
- total magnetization (μB per atom) = 0.60

***

[24]
BaYCl2: relaxed, GGA-PBE.

Structure (extended XYZ):
```
4
Lattice="5.276 0.000 0.000 0.000 3.863 -0.026 0.000 0.061 6.759" Properties=species:S:1:pos:R:3 pbc="T T T"
Y 0.000 1.470 2.440
Ba 2.638 3.419 5.016
Cl 0.000 3.388 0.334
Cl 2.638 1.470 2.281
```

Values from the calculation:
- E above lowest polymorph (kJ per mole of atoms) = 8.1
- raw formation energy (eV/atom) = -1.378
- total DFT energy (no corrections) (eV/atom) = -4.40
- total magnetization (μB per atom) = 0.00

***

[25]
BaYCl2: relaxed, GGA-PBE.

Structure (extended XYZ):
```
4
Lattice="-1.041 -5.354 -1.660 1.475 -1.698 -5.239 4.317 -3.657 -0.701" Properties=species:S:1:pos:R:3 pbc="T T T"
Y 3.564 -8.033 -5.700
Ba 2.376 -5.355 -3.800
Cl 0.000 0.000 0.000
Cl 1.188 -2.678 -1.900
```

Values from the calculation:
- E above lowest polymorph (kJ per mole of atoms) = 93.9
- raw formation energy (eV/atom) = -0.489
- total DFT energy (no corrections) (eV/atom) = -3.51
- total magnetization (μB per atom) = 0.72

***

[26]
BaYCl: relaxed, GGA-PBE.

Structure (extended XYZ):
```
3
Lattice="-5.234 -0.080 -0.764 -2.264 -4.154 -2.367 -3.031 -3.310 2.799" Properties=species:S:1:pos:R:3 pbc="T T T"
Ba -5.265 -3.772 -0.166
Cl -7.897 -5.658 -0.249
Y 0.000 0.000 0.000
```

Values from the calculation:
- E above lowest polymorph (kJ per mole of atoms) = 46.2
- raw formation energy (eV/atom) = -0.378
- total DFT energy (no corrections) (eV/atom) = -3.79
- total magnetization (μB per atom) = 0.58

***

[27]
BaYCl: relaxed, GGA-PBE.

Structure (extended XYZ):
```
3
Lattice="7.790 0.007 0.000 6.057 4.898 0.000 -6.924 -2.452 2.595" Properties=species:S:1:pos:R:3 pbc="T T T"
Ba 13.676 4.844 0.000
Cl 4.445 1.575 0.000
Y 9.573 3.391 0.000
```

Values from the calculation:
- E above lowest polymorph (kJ per mole of atoms) = 14.8
- raw formation energy (eV/atom) = -0.703
- total DFT energy (no corrections) (eV/atom) = -4.11
- total magnetization (μB per atom) = 0.00

***

[28]
Ba2YCl: relaxed, GGA-PBE.

Structure (extended XYZ):
```
4
Lattice="-6.182 -0.525 -0.247 -2.766 -1.639 -5.311 -2.621 -5.603 -0.535" Properties=species:S:1:pos:R:3 pbc="T T T"
Ba 0.000 0.000 0.000
Ba -2.892 -1.942 -1.523
Cl -5.784 -3.884 -3.047
Y -8.677 -5.826 -4.570
```

Values from the calculation:
- E above lowest polymorph (kJ per mole of atoms) = 70.8
- raw formation energy (eV/atom) = 0.032
- total DFT energy (no corrections) (eV/atom) = -3.01
- total magnetization (μB per atom) = 0.33